(1)
An optimized crystal structure of Gd3Ga5O12, computed with GGA-PBE.

Cell: 10.8337 10.8337 10.8337 Å, 109.47 109.47 109.47°
Last column: nearest neighbours and their distance in Å.
Positions (direct):
Gd  0.1250  0.3750  0.7500  8 O 2.39-2.49
Gd  0.3750  0.1250  0.2500  8 O 2.39-2.49
Gd  0.3750  0.7500  0.1250  8 O 2.39-2.49
Gd  0.1250  0.2500  0.3750  8 O 2.39-2.49
Gd  0.7500  0.1250  0.3750  8 O 2.39-2.49
Gd  0.2500  0.3750  0.1250  8 O 2.39-2.49
Gd  0.8750  0.6250  0.2500  8 O 2.39-2.49
Gd  0.6250  0.8750  0.7500  8 O 2.39-2.49
Gd  0.6250  0.2500  0.8750  8 O 2.39-2.49
Gd  0.8750  0.7500  0.6250  8 O 2.39-2.49
Gd  0.2500  0.8750  0.6250  8 O 2.39-2.49
Gd  0.7500  0.6250  0.8750  8 O 2.39-2.49
Ga  0.0000  0.5000  0.0000  6 O 2.02
Ga  0.0000  0.0000  0.5000  6 O 2.02
Ga  0.5000  0.0000  0.0000  6 O 2.02
Ga  0.5000  0.5000  0.5000  6 O 2.02
Ga  0.5000  0.5000  0.0000  6 O 2.02
Ga  0.5000  0.0000  0.5000  6 O 2.02
Ga  0.0000  0.5000  0.5000  6 O 2.02
Ga  0.0000  0.0000  0.0000  6 O 2.02
Ga  0.3750  0.6250  0.7500  4 O 1.87
Ga  0.1250  0.8750  0.2500  4 O 1.87
Ga  0.6250  0.7500  0.3750  4 O 1.87
Ga  0.8750  0.2500  0.1250  4 O 1.87
Ga  0.7500  0.3750  0.6250  4 O 1.87
Ga  0.2500  0.1250  0.8750  4 O 1.87
Ga  0.6250  0.3750  0.2500  4 O 1.87
Ga  0.8750  0.1250  0.7500  4 O 1.87
Ga  0.3750  0.2500  0.6250  4 O 1.87
Ga  0.1250  0.7500  0.8750  4 O 1.87
Ga  0.2500  0.6250  0.3750  4 O 1.87
Ga  0.7500  0.8750  0.1250  4 O 1.87
O  0.0263  0.3222  0.9044  2 Ga 1.87-2.02
O  0.9178  0.1219  0.5956  2 Ga 1.87-2.02
O  0.5822  0.1778  0.2041  2 Ga 1.87-2.02
O  0.4737  0.3781  0.2959  2 Ga 1.87-2.02
O  0.3222  0.9044  0.0263  2 Ga 1.87-2.02
O  0.1219  0.5956  0.9178  2 Ga 1.87-2.02
O  0.1778  0.2041  0.5822  2 Ga 1.87-2.02
O  0.3781  0.2959  0.4737  2 Ga 1.87-2.02
O  0.9044  0.0263  0.3222  2 Ga 1.87-2.02
O  0.5956  0.9178  0.1219  2 Ga 1.87-2.02
O  0.2041  0.5822  0.1778  2 Ga 1.87-2.02
O  0.2959  0.4737  0.3781  2 Ga 1.87-2.02
O  0.9737  0.6778  0.0956  2 Ga 1.87-2.02
O  0.0822  0.8781  0.4044  2 Ga 1.87-2.02
O  0.4178  0.8222  0.7959  2 Ga 1.87-2.02
O  0.5263  0.6219  0.7041  2 Ga 1.87-2.02
O  0.6778  0.0956  0.9737  2 Ga 1.87-2.02
O  0.8781  0.4044  0.0822  2 Ga 1.87-2.02
O  0.8222  0.7959  0.4178  2 Ga 1.87-2.02
O  0.6219  0.7041  0.5263  2 Ga 1.87-2.02
O  0.0956  0.9737  0.6778  2 Ga 1.87-2.02
O  0.4044  0.0822  0.8781  2 Ga 1.87-2.02
O  0.7959  0.4178  0.8222  2 Ga 1.87-2.02
O  0.7041  0.5263  0.6219  2 Ga 1.87-2.02
O  0.5263  0.4044  0.8222  2 Ga 1.87-2.02
O  0.4178  0.0956  0.6219  2 Ga 1.87-2.02
O  0.0822  0.7041  0.6778  2 Ga 1.87-2.02
O  0.9737  0.7959  0.8781  2 Ga 1.87-2.02
O  0.8222  0.5263  0.4044  2 Ga 1.87-2.02
O  0.6219  0.4178  0.0956  2 Ga 1.87-2.02
O  0.6778  0.0822  0.7041  2 Ga 1.87-2.02
O  0.8781  0.9737  0.7959  2 Ga 1.87-2.02
O  0.4044  0.8222  0.5263  2 Ga 1.87-2.02
O  0.0956  0.6219  0.4178  2 Ga 1.87-2.02
O  0.7041  0.6778  0.0822  2 Ga 1.87-2.02
O  0.7959  0.8781  0.9737  2 Ga 1.87-2.02
O  0.4737  0.5956  0.1778  2 Ga 1.87-2.02
O  0.5822  0.9044  0.3781  2 Ga 1.87-2.02
O  0.9178  0.2959  0.3222  2 Ga 1.87-2.02
O  0.0263  0.2041  0.1219  2 Ga 1.87-2.02
O  0.1778  0.4737  0.5956  2 Ga 1.87-2.02
O  0.3781  0.5822  0.9044  2 Ga 1.87-2.02
O  0.3222  0.9178  0.2959  2 Ga 1.87-2.02
O  0.1219  0.0263  0.2041  2 Ga 1.87-2.02
O  0.5956  0.1778  0.4737  2 Ga 1.87-2.02
O  0.9044  0.3781  0.5822  2 Ga 1.87-2.02
O  0.2959  0.3222  0.9178  2 Ga 1.87-2.02
O  0.2041  0.1219  0.0263  2 Ga 1.87-2.02

Values from the calculation:
E (eV per cell): -668.592
Symmetry: Ia-3d (230)
Formation energy without anion corrections (meV per atom): -2514


(2)
An optimized crystal structure of LaTaTl, computed with GGA-PBE.

Cell: 5.1624 5.1624 5.1624 Å, 60.00 60.00 60.00°
Last column: nearest neighbours and their distance in Å.
Positions (direct):
La  0.7500  0.7500  0.7500  4 Tl 3.16, 4 Ta 3.16
Ta  0.0000  0.0000  0.0000  4 La 3.16
Tl  0.5000  0.5000  0.5000  4 La 3.16

Values from the calculation:
E (eV per cell): -15.380
Relative energy among the computed polymorphs (eV per atom): 0.9140
Symmetry: F-43m (216)
ΔE_f (eV per atom): 1.255


(3)
An optimized crystal structure of MnFeCuMoAu, computed with GGA-PBE.

Cell: 3.1153 3.1085 14.5705 Å, 90.00 90.00 90.00°
Last column: nearest neighbours and their distance in Å.
Positions (direct):
Mn  0.0000  0.5000  0.7888  4 Fe 2.60, 1 Mo 2.70, 4 Au 2.71
Mn  0.5000  0.0000  0.2888  4 Fe 2.60, 1 Mo 2.70, 4 Au 2.71
Fe  0.0000  0.5000  0.3844  4 Mo 2.56, 4 Mn 2.60, 1 Cu 2.80
Fe  0.5000  0.0000  0.8844  4 Mo 2.56, 4 Mn 2.60, 1 Cu 2.80
Cu  0.0000  0.5000  0.5764  4 Mo 2.66, 4 Au 2.67, 1 Fe 2.80
Cu  0.5000  0.0000  0.0764  4 Mo 2.66, 4 Au 2.67, 1 Fe 2.80
Mo  0.0000  0.5000  0.9740  4 Fe 2.56, 4 Cu 2.66, 1 Mn 2.70
Mo  0.5000  0.0000  0.4740  4 Fe 2.56, 4 Cu 2.66, 1 Mn 2.70
Au  0.0000  0.5000  0.1806  4 Cu 2.67, 4 Mn 2.71, 1 Fe 2.97
Au  0.5000  0.0000  0.6806  4 Cu 2.67, 4 Mn 2.71, 1 Fe 2.97

Values from the calculation:
E (eV per cell): -70.460
Relative energy among the computed polymorphs (eV per atom): 0.0000
Symmetry: I4mm (107)
ΔE_f (eV per atom): 0.121


| no. | total magnetic moment (μB per cell) |
| --- | --- |
| 1 | 83.7 |
| 2 | 2.7 |
| 3 | 9.7 |